Entry 1:
This record from the Alexandria database describes a geometry-optimized TaNbOF2 structure. The functional is PBEsol.

Summary:
Uncorrected formation energy ... -939 meV per atom
M_tot ... 0.75 μB per atom

Unit cell a=4.2010 b=4.2010 c=3.9519 alpha=90.00 beta=90.00 gamma=90.00
Space group P4/mmm (No. 123)
Symmetry-distinct sites (fractional):
Ta  0.0000  0.0000  0.0000 x1
Nb  0.5000  0.5000  0.5000 x1
O  0.0000  0.0000  0.5000 x1
F  0.0000  0.5000  0.0000 x2

***

Entry 2:
This record from the Alexandria database describes a geometry-optimized NaZn2ReB structure. The functional is PBEsol.

Summary:
M_tot ... 0.59 μB per atom
Calculated formation energy ... 1.356 eV/atom

Unit cell a=4.0595 b=4.0595 c=4.5080 alpha=90.00 beta=90.00 gamma=90.00
Space group P4/mmm (No. 123)
Symmetry-distinct sites (fractional):
Na  0.0000  0.0000  0.0000 x1
Zn  0.0000  0.5000  0.5000 x2
Re  0.5000  0.5000  0.0000 x1
B  0.0000  0.0000  0.5000 x1

***

Entry 3:
This record from the Alexandria database describes a geometry-optimized AlSn2N structure. The functional is PBEsol.

Summary:
Uncorrected formation energy ... 306 meV per atom
M_tot ... 0.00 μB per atom

Unit cell a=5.7087 b=5.7087 c=10.6770 alpha=90.00 beta=90.00 gamma=90.00
Space group I-42d (No. 122)
Symmetry-distinct sites (fractional):
Al  0.0000  0.0000  0.0000 x4
Sn  0.1831  0.2500  0.6250 x8
N  0.0000  0.0000  0.5000 x4

***

Entry 4:
This record from the Alexandria database describes a geometry-optimized TbInPt structure. The functional is PBEsol.

Summary:
M_tot ... 0.00 μB per atom
Calculated formation energy ... -1.015 eV/atom

Unit cell a=7.5330 b=7.5330 c=3.8644 alpha=90.00 beta=90.00 gamma=120.00
Space group P-62m (No. 189)
Symmetry-distinct sites (fractional):
Tb  0.0000  0.4075  0.0000 x3
In  0.0000  0.7412  0.5000 x3
Pt  0.0000  0.0000  0.0000 x1
Pt  0.3333  0.6667  0.5000 x2

***

Entry 5:
This record from the Alexandria database describes a geometry-optimized Ca2ZnHg structure. The functional is PBEsol.

Summary:
M_tot ... 0.00 μB per atom
Calculated formation energy ... -0.413 eV/atom
Energy above the most stable polymorph in this dataset ... 0 meV per atom

Unit cell a=7.3261 b=7.3261 c=7.3261 alpha=90.00 beta=90.00 gamma=90.00
Space group Fm-3m (No. 225)
Symmetry-distinct sites (fractional):
Ca  0.2500  0.2500  0.2500 x8
Zn  0.0000  0.0000  0.0000 x4
Hg  0.0000  0.0000  0.5000 x4

***

Entry 6:
This record from the Alexandria database describes a geometry-optimized LaZn2Re structure. The functional is PBEsol.

Summary:
M_tot ... 0.00 μB per atom
Calculated formation energy ... 0.176 eV/atom
Energy above the most stable polymorph in this dataset ... 0 meV per atom

Unit cell a=2.8600 b=4.0185 c=6.2577 alpha=90.00 beta=90.00 gamma=90.00
Space group Pmmm (No. 47)
Symmetry-distinct sites (fractional):
La  0.0000  0.0000  0.0000 x1
Zn  0.5000  0.5000  0.3083 x2
Re  0.0000  0.0000  0.5000 x1

***

Entry 7:
This record from the Alexandria database describes a geometry-optimized Zr2TlAu structure. The functional is PBEsol.

Summary:
M_tot ... 0.00 μB per atom
Calculated formation energy ... -0.286 eV/atom

Unit cell a=3.1567 b=4.9879 c=5.1647 alpha=90.00 beta=90.00 gamma=90.00
Space group Pmm2 (No. 25)
Symmetry-distinct sites (fractional):
Zr  0.0000  0.0000  0.0000 x1
Zr  0.0000  0.5000  0.3846 x1
Tl  0.5000  0.5000  0.8831 x1
Au  0.5000  0.0000  0.5116 x1

***

Entry 8:
This record from the Alexandria database describes a geometry-optimized Zr2PW structure. The functional is PBEsol.

Summary:
M_tot ... 0.00 μB per atom
Calculated formation energy ... -0.382 eV/atom

Unit cell a=3.5508 b=4.8858 c=8.1231 alpha=90.00 beta=90.00 gamma=90.00
Space group Cmmm (No. 65)
Symmetry-distinct sites (fractional):
Zr  0.0000  0.0000  0.2297 x4
P  0.0000  0.5000  0.0000 x2
W  0.0000  0.5000  0.5000 x2

***

Entry 9:
This record from the Alexandria database describes a geometry-optimized BeAl2Tc structure. The functional is PBEsol.

Summary:
M_tot ... 0.00 μB per atom
Calculated formation energy ... 0.125 eV/atom

Unit cell a=3.1566 b=4.3065 c=7.9075 alpha=90.00 beta=90.00 gamma=90.00
Space group Cmmm (No. 65)
Symmetry-distinct sites (fractional):
Be  0.0000  0.0000  0.0000 x2
Al  0.0000  0.5000  0.2432 x4
Tc  0.0000  0.0000  0.5000 x2

***

Entry 10:
This record from the Alexandria database describes a geometry-optimized SrBeIn structure. The functional is PBEsol.

Summary:
M_tot ... 0.00 μB per atom
Calculated formation energy ... -0.030 eV/atom

Unit cell a=4.5781 b=4.5781 c=4.0523 alpha=90.00 beta=90.00 gamma=120.00
Space group P-6m2 (No. 187)
Symmetry-distinct sites (fractional):
Sr  0.0000  0.0000  0.0000 x1
Be  0.3333  0.6667  0.5000 x1
In  0.6667  0.3333  0.5000 x1

***

Entry 11:
This record from the Alexandria database describes a geometry-optimized SnBiBAs2 structure. The functional is PBEsol.

Summary:
M_tot ... 0.00 μB per atom
Calculated formation energy ... 0.558 eV/atom

Unit cell a=4.5697 b=4.5697 c=4.7901 alpha=90.00 beta=90.00 gamma=90.00
Space group P4/mmm (No. 123)
Symmetry-distinct sites (fractional):
Sn  0.0000  0.0000  0.0000 x1
Bi  0.5000  0.5000  0.0000 x1
B  0.0000  0.0000  0.5000 x1
As  0.0000  0.5000  0.5000 x2

***

Entry 12:
This record from the Alexandria database describes a geometry-optimized Li3VF8 structure. The functional is PBEsol.

Summary:
Uncorrected formation energy ... -2792 meV per atom
M_tot ... 0.00 μB per atom
Energy above the most stable polymorph in this dataset ... 5 meV per atom

Unit cell a=5.6054 b=8.9192 c=6.1176 alpha=90.00 beta=90.00 gamma=90.00
Space group C222 (No. 21)
Symmetry-distinct sites (fractional):
Li  0.0000  0.0000  0.0000 x2
Li  0.2500  0.2500  0.8358 x4
V  0.0000  0.0000  0.5000 x2
F  0.0000  0.2003  0.0000 x4
F  0.0000  0.1999  0.5000 x4
F  0.2239  0.0146  0.7091 x8

***

Entry 13:
This record from the Alexandria database describes a geometry-optimized InHgRh structure. The functional is PBEsol.

Summary:
M_tot ... 0.00 μB per atom
Calculated formation energy ... 0.327 eV/atom
Energy above the most stable polymorph in this dataset ... 382 meV per atom

Unit cell a=6.2998 b=6.2998 c=6.2998 alpha=90.00 beta=90.00 gamma=90.00
Space group F-43m (No. 216)
Symmetry-distinct sites (fractional):
In  0.0000  0.0000  0.0000 x4
Hg  0.2500  0.2500  0.2500 x4
Rh  0.0000  0.0000  0.5000 x4

***

Entry 14:
This record from the Alexandria database describes a geometry-optimized CoRePb structure. The functional is PBEsol.

Summary:
M_tot ... 0.67 μB per atom
Calculated formation energy ... 0.834 eV/atom

Unit cell a=5.9019 b=5.9019 c=5.9019 alpha=90.00 beta=90.00 gamma=90.00
Space group F-43m (No. 216)
Symmetry-distinct sites (fractional):
Co  0.0000  0.0000  0.0000 x4
Re  0.2500  0.2500  0.7500 x4
Pb  0.2500  0.2500  0.2500 x4

***

Entry 15:
This record from the Alexandria database describes a geometry-optimized U3Si4Ni4 structure. The functional is PBEsol.

Summary:
Uncorrected formation energy ... -478 meV per atom
M_tot ... 0.42 μB per atom

Unit cell a=3.7987 b=3.8772 c=23.2240 alpha=90.00 beta=90.00 gamma=90.00
Space group Immm (No. 71)
Symmetry-distinct sites (fractional):
U  0.0000  0.0000  0.0000 x2
U  0.0000  0.5000  0.1461 x4
Si  0.0000  0.0000  0.4499 x4
Si  0.0000  0.5000  0.3032 x4
Ni  0.0000  0.0000  0.2503 x4
Ni  0.0000  0.5000  0.4006 x4

***

Entry 16:
This record from the Alexandria database describes a geometry-optimized ScTc2W structure. The functional is PBEsol.

Summary:
M_tot ... 0.00 μB per atom
Calculated formation energy ... -0.185 eV/atom
Energy above the most stable polymorph in this dataset ... 18 meV per atom

Unit cell a=3.1222 b=3.1222 c=6.3866 alpha=90.00 beta=90.00 gamma=90.00
Space group P4/mmm (No. 123)
Symmetry-distinct sites (fractional):
Sc  0.0000  0.0000  0.0000 x1
Tc  0.5000  0.5000  0.2667 x2
W  0.0000  0.0000  0.5000 x1

***

Entry 17:
This record from the Alexandria database describes a geometry-optimized ZrNbNi3 structure. The functional is PBEsol.

Summary:
M_tot ... 0.21 μB per atom
Calculated formation energy ... 1.143 eV/atom

Unit cell a=4.3875 b=4.3875 c=4.3875 alpha=90.00 beta=90.00 gamma=90.00
Space group Pm-3m (No. 221)
Symmetry-distinct sites (fractional):
Zr  0.0000  0.0000  0.0000 x1
Nb  0.5000  0.5000  0.5000 x1
Ni  0.0000  0.0000  0.5000 x3

***

Entry 18:
This record from the Alexandria database describes a geometry-optimized YAlNi2 structure. The functional is PBEsol.

Summary:
M_tot ... 0.00 μB per atom
Calculated formation energy ... -0.415 eV/atom

Unit cell a=3.9499 b=3.4222 c=9.3442 alpha=90.00 beta=90.00 gamma=90.00
Space group Amm2 (No. 38)
Symmetry-distinct sites (fractional):
Y  0.0000  0.0000  0.0000 x2
Al  0.5000  0.0000  0.2902 x2
Ni  0.0000  0.0000  0.7291 x2
Ni  0.5000  0.0000  0.5838 x2

***

Entry 19:
This record from the Alexandria database describes a geometry-optimized SrCaY2 structure. The functional is PBEsol.

Summary:
M_tot ... 0.00 μB per atom
Calculated formation energy ... 0.196 eV/atom
Energy above the most stable polymorph in this dataset ... 109 meV per atom

Unit cell a=3.6790 b=3.6790 c=37.0128 alpha=90.00 beta=90.00 gamma=120.00
Space group R-3m (No. 166, hexagonal axes)
Symmetry-distinct sites (fractional):
Sr  0.0000  0.0000  0.0000 x3
Ca  0.0000  0.0000  0.5000 x3
Y  0.0000  0.0000  0.2476 x6

***

Entry 20:
This record from the Alexandria database describes a geometry-optimized TcCl2 structure. The functional is PBEsol.

Summary:
Uncorrected formation energy ... -546 meV per atom
M_tot ... 0.00 μB per atom

Unit cell a=12.6190 b=3.4418 c=7.0522 alpha=90.00 beta=110.58 gamma=90.00
Space group C2/m (No. 12)
Symmetry-distinct sites (fractional):
Tc  0.0180  0.0000  0.1593 x4
Cl  0.1000  0.5000  0.7959 x4
Cl  0.1539  0.5000  0.2750 x4

***

Entry 21:
This record from the Alexandria database describes a geometry-optimized Re2SnNCl structure. The functional is PBEsol.

Summary:
Uncorrected formation energy ... 3320 meV per atom
M_tot ... 1.98 μB per atom

Unit cell a=5.1603 b=5.1603 c=5.4304 alpha=90.00 beta=90.00 gamma=90.00
Space group P4/mmm (No. 123)
Symmetry-distinct sites (fractional):
Re  0.0000  0.5000  0.0000 x2
Sn  0.0000  0.0000  0.0000 x1
N  0.5000  0.5000  0.5000 x1
Cl  0.0000  0.0000  0.5000 x1

***

Entry 22:
This record from the Alexandria database describes a geometry-optimized HfTe2Au structure. The functional is PBEsol.

Summary:
Uncorrected formation energy ... -133 meV per atom
M_tot ... 0.00 μB per atom

Unit cell a=7.0992 b=7.0992 c=7.0992 alpha=90.00 beta=90.00 gamma=90.00
Space group Fm-3m (No. 225)
Symmetry-distinct sites (fractional):
Hf  0.0000  0.0000  0.0000 x4
Te  0.2500  0.2500  0.2500 x8
Au  0.0000  0.0000  0.5000 x4

***

Entry 23:
This record from the Alexandria database describes a geometry-optimized Zr4SbAu structure. The functional is PBEsol.

Summary:
Uncorrected formation energy ... 70 meV per atom
M_tot ... 0.00 μB per atom

Unit cell a=7.9539 b=7.9539 c=7.9539 alpha=90.00 beta=90.00 gamma=90.00
Space group F-43m (No. 216)
Symmetry-distinct sites (fractional):
Zr  0.1252  0.1252  0.1252 x16
Sb  0.0000  0.0000  0.5000 x4
Au  0.2500  0.2500  0.7500 x4

***

Entry 24:
This record from the Alexandria database describes a geometry-optimized BaCoBr2 structure. The functional is PBEsol.

Summary:
Uncorrected formation energy ... -740 meV per atom
M_tot ... 0.28 μB per atom
Energy above the most stable polymorph in this dataset ... 0 meV per atom

Unit cell a=3.8158 b=5.7695 c=8.8916 alpha=90.00 beta=90.00 gamma=90.00
Space group Immm (No. 71)
Symmetry-distinct sites (fractional):
Ba  0.0000  0.0000  0.0000 x2
Co  0.0000  0.0000  0.5000 x2
Br  0.0000  0.5000  0.1799 x4

***

Entry 25:
This record from the Alexandria database describes a geometry-optimized LaCd2FeNi structure. The functional is PBEsol.

Summary:
M_tot ... 0.21 μB per atom
Calculated formation energy ... 1.728 eV/atom

Unit cell a=5.7663 b=5.7663 c=4.2686 alpha=90.00 beta=90.00 gamma=90.00
Space group P4/mmm (No. 123)
Symmetry-distinct sites (fractional):
La  0.0000  0.0000  0.0000 x1
Cd  0.0000  0.5000  0.0000 x2
Fe  0.0000  0.0000  0.5000 x1
Ni  0.5000  0.5000  0.5000 x1

***

Entry 26:
This record from the Alexandria database describes a geometry-optimized In2TeMo structure. The functional is PBEsol.

Summary:
Uncorrected formation energy ... 329 meV per atom
M_tot ... 0.00 μB per atom

Unit cell a=3.0947 b=4.4782 c=13.5517 alpha=90.00 beta=90.00 gamma=90.00
Space group Immm (No. 71)
Symmetry-distinct sites (fractional):
In  0.0000  0.0000  0.1894 x4
Te  0.0000  0.5000  0.0000 x2
Mo  0.0000  0.5000  0.5000 x2

***

Entry 27:
This record from the Alexandria database describes a geometry-optimized KRhPb2 structure. The functional is PBEsol.

Summary:
M_tot ... 0.00 μB per atom
Calculated formation energy ... 0.186 eV/atom

Unit cell a=3.4325 b=5.0390 c=6.9198 alpha=90.00 beta=104.23 gamma=90.00
Space group Pm (No. 6)
Symmetry-distinct sites (fractional):
K  0.0000  0.0000  0.0000 x1
Rh  0.3282  0.5000  0.6583 x1
Pb  0.2756  0.0000  0.5453 x1
Pb  0.6703  0.5000  0.3387 x1

***

Entry 28:
This record from the Alexandria database describes a geometry-optimized Tl2Cd structure. The functional is PBEsol.

Summary:
M_tot ... 0.00 μB per atom
Calculated formation energy ... 0.050 eV/atom
Energy above the most stable polymorph in this dataset ... 11 meV per atom

Unit cell a=3.5983 b=3.5983 c=12.0860 alpha=90.00 beta=90.00 gamma=90.00
Space group I4/mmm (No. 139)
Symmetry-distinct sites (fractional):
Tl  0.0000  0.0000  0.1588 x4
Cd  0.0000  0.0000  0.5000 x2

***

Entry 29:
This record from the Alexandria database describes a geometry-optimized HgOs2Se structure. The functional is PBEsol.

Summary:
Uncorrected formation energy ... 1083 meV per atom
M_tot ... 0.00 μB per atom

Unit cell a=4.5073 b=4.5073 c=3.1267 alpha=90.00 beta=90.00 gamma=90.00
Space group P4/mmm (No. 123)
Symmetry-distinct sites (fractional):
Hg  0.0000  0.0000  0.0000 x1
Os  0.0000  0.5000  0.5000 x2
Se  0.5000  0.5000  0.0000 x1